## CsLaBr3 (PBE)

Data for a geometry-optimized CsLaBr3 structure.

a b c (Å): 10.1287 4.2936 17.6295
angles (deg): 90.00 90.00 90.00
Atoms (fractional coordinates):
Cs: 0.0644 0.2500 0.1742
Cs: 0.4356 0.7500 0.6742
Cs: 0.5644 0.2500 0.3258
Cs: 0.9356 0.7500 0.8258
La: 0.1333 0.7500 0.4524
La: 0.3667 0.2500 0.9524
La: 0.6333 0.7500 0.0476
La: 0.8667 0.2500 0.5476
Br: 0.0502 0.7500 0.6219
Br: 0.1681 0.7500 0.0028
Br: 0.2318 0.2500 0.8006
Br: 0.2682 0.7500 0.3006
Br: 0.3319 0.2500 0.5028
Br: 0.4498 0.2500 0.1219
Br: 0.5502 0.7500 0.8781
Br: 0.6681 0.7500 0.4972
Br: 0.7318 0.2500 0.6994
Br: 0.7682 0.7500 0.1994
Br: 0.8319 0.2500 0.9972
Br: 0.9498 0.2500 0.3781

Output
The formation energy from raw total energies comes out at -1.792 eV/atom. The total magnetic moment is 4.00 Bohr magnetons per cell.


## SIO2F (PBE)

Data for a geometry-optimized SIO2F structure.

a b c (Å): 4.0837 4.0837 4.8187
angles (deg): 90.00 90.00 90.00
Atoms (fractional coordinates):
S: 0.0000 0.0000 0.0000
I: 0.5000 0.5000 0.5000
O: 0.0000 0.5000 0.5000
O: 0.5000 0.0000 0.5000
F: 0.5000 0.5000 0.0000

Output
The formation energy from raw total energies comes out at 0.298 eV/atom. The total magnetic moment is 2.45 Bohr magnetons per cell.


## CaZrTa (PBE)

Data for a geometry-optimized CaZrTa structure.

a b c (Å): 8.2126 8.2126 8.2126
angles (deg): 158.67 158.67 30.35
Atoms (fractional coordinates):
Ca: 0.0000 0.0000 0.0000
Zr: 0.6946 0.6946 0.0000
Ta: 0.3303 0.3303 0.0000

Output
For the formation energy, the calculation gives 0.44 eV per atom. The total magnetic moment is 0.00 Bohr magnetons per cell.